1.
First-principles (GGA-PBE) data for a relaxed K2Na5Tl crystal, as listed in Alexandria via LeMat-Bulk.

Geometry as extended XYZ:
```
8
Lattice="3.7709 -5.7513 0.0000 3.7709 5.7513 0.0000 -2.1839 0.0000 7.4757" Properties=species:S:1:pos:R:3 pbc="T T T"
K 3.7709 3.3521 0.0000
K 3.7709 -3.3521 0.0000
Na 2.8483 3.3287 3.5804
Na 1.7827 0.0000 2.3137
Na 0.9313 0.0000 5.9404
Na 4.2512 0.0000 4.7138
Na 2.8483 -3.3287 3.5804
Tl 5.0163 0.0000 1.5194
```

Computed properties:
space-group type	Cm

2.
First-principles (GGA-PBE) data for a relaxed LiPrIn4 crystal, as listed in Alexandria via LeMat-Bulk.

Geometry as extended XYZ:
```
6
Lattice="0.0000 4.3049 4.3049 4.3049 0.0000 4.3049 4.3049 4.3049 0.0000" Properties=species:S:1:pos:R:3 pbc="T T T"
Li 0.0000 0.0000 0.0000
Pr 2.1525 2.1525 2.1525
In 5.3810 3.2288 3.2288
In 3.2288 5.3810 3.2288
In 3.2288 3.2288 5.3810
In 5.3810 5.3810 5.3810
```

Computed properties:
space-group type	F-43m

3.
First-principles (GGA-PBE) data for a relaxed YTcAu2 crystal, as listed in Alexandria via LeMat-Bulk.

Geometry as extended XYZ:
```
4
Lattice="3.2110 0.0000 0.0000 0.0000 4.0211 0.0000 0.0000 0.0000 5.9877" Properties=species:S:1:pos:R:3 pbc="T T T"
Y 0.0000 0.0000 0.0000
Tc 0.0000 0.0000 2.9939
Au 1.6055 2.0105 1.6198
Au 1.6055 2.0105 4.3680
```

Computed properties:
space-group type	Pmmm

4.
First-principles (GGA-PBE) data for a relaxed LiTlMo2 crystal, as listed in Alexandria via LeMat-Bulk.

Geometry as extended XYZ:
```
4
Lattice="2.7506 0.0000 0.0000 0.0000 4.2367 0.0000 0.0000 0.0000 5.9793" Properties=species:S:1:pos:R:3 pbc="T T T"
Li 0.0000 0.0000 0.0000
Tl 1.3753 2.1184 4.6201
Mo 0.0000 0.0000 2.8262
Mo 1.3753 2.1184 1.5995
```

Computed properties:
space-group type	Pmm2

no.,final energy (eV per atom),formation energy from the elements (eV/f.u.)
1,-1.39,0.049
2,-3.16,-1.288
3,-5.93,-0.318
4,-6.00,1.929